Computed, not measured: CuGe2Au after structural relaxation at the PBE level of DFT.

abc: 4.5871 4.5871 4.5871
angles: 60.00 60.00 60.00
With the nearest neighbours (Å) after each atom.
Positions (direct):
Cu 0.5000 0.5000 0.5000  4 Au 2.81, 4 Ge 2.81
Ge 0.7500 0.7500 0.7500  4 Ge 2.81, 4 Cu 2.81
Ge 0.0000 0.0000 0.0000  4 Ge 2.81, 4 Au 2.81
Au 0.2500 0.2500 0.2500  4 Cu 2.81, 4 Ge 2.81

electronic total energy = -3.807 eV per atom
space-group type = No. 216


Computed, not measured: PmHfNO after structural relaxation at the PBE level of DFT.

abc: 4.0326 5.4361 6.0911
angles: 90.00 90.00 90.00
With the nearest neighbours (Å) after each atom.
Positions (direct):
O 0.5000 0.8344 0.9114  2 Hf 2.04-2.08
O 0.5000 0.3344 0.0886  2 Hf 2.04-2.08
Pm 0.0000 0.4594 0.3179  2 N 2.35-2.62, 2 O 2.54
Pm 0.0000 0.9594 0.6821  2 N 2.35-2.62, 2 O 2.54
Hf 0.5000 0.9820 0.2197  2 O 2.04-2.08, 2 N 2.07
Hf 0.5000 0.4820 0.7804  2 O 2.04-2.08, 2 N 2.07
N 0.0000 0.9782 0.2975  2 Hf 2.07
N 0.0000 0.4782 0.7025  2 Hf 2.07

electronic total energy = -9.005 eV per atom
space-group type = No. 26


electronic total energy of number 1 (CuGe2Au)? -3.807 eV per atom


Which of these has the highest electronic total energy? CuGe2Au